CsS5 | Alexandria via LeMat-Bulk | PBE | relaxed; formation energy without anion corrections = -0.2681 eV/atom; E_tot = -3.85 eV/atom; DOS(E_F) = 0.610 states/eV/atom; ΔE to the lowest computed polymorph = 0 meV/atom; symmetry = P1 (1)
1.0
4.503 1.604 -2.062
-0.775 7.620 -0.042
-3.036 0.387 6.895
Cs S
1 5
Cartesian
0.281 4.623 5.108
3.257 8.052 -1.574
1.879 4.192 1.779
-0.914 7.912 3.504
0.655 6.178 0.019
2.420 2.225 1.965